The following is a DFT calculation (PBE-GGA) of ZnBO2 after structural relaxation.

Properties
**Crystal system**: monoclinic
**SG**: No. 12
**Raw formation energy**: -1388 meV per atom

Unit cell a=6.266 b=6.266 c=5.054 alpha=108.91 beta=108.91 gamma=27.21
Positions (direct):
Zn 0.129 0.129 0.482
Zn 0.871 0.871 0.518
B 0.316 0.316 0.006
B 0.684 0.684 0.994
O 0.331 0.331 0.747
O 0.401 0.401 0.266
O 0.599 0.599 0.734
O 0.669 0.669 0.253

=====

The following is a DFT calculation (PBE-GGA) of Hg5BiPb4 after structural relaxation.

Properties
**Uncorrected energy**: -19.5 eV for the cell shown
**Crystal system**: tetragonal
**SG**: No. 123

Unit cell a=3.259 b=3.259 c=26.947 alpha=90.00 beta=90.00 gamma=90.00
Positions (direct):
Hg 0.000 0.000 0.000
Hg 0.000 0.000 0.199
Hg 0.000 0.000 0.398
Hg 0.000 0.000 0.602
Hg 0.000 0.000 0.801
Bi 0.500 0.500 0.500
Pb 0.500 0.500 0.099
Pb 0.500 0.500 0.297
Pb 0.500 0.500 0.703
Pb 0.500 0.500 0.901

=====

The following is a DFT calculation (PBE-GGA) of PRuO after structural relaxation.

Properties
**Crystal system**: monoclinic
**SG**: No. 8
**Raw formation energy**: -205 meV per atom

Unit cell a=3.791 b=3.791 c=3.043 alpha=109.42 beta=109.42 gamma=65.22
Positions (direct):
P 0.000 0.000 0.000
Ru 0.699 0.699 0.236
O 0.405 0.405 0.512